[1]
Density functional theory data (PBE-GGA) for crystalline YThPtSe at its relaxed geometry.

Unit cell a=4.0803 b=4.0803 c=22.1203 alpha=90.00 beta=90.00 gamma=120.00
Last column: nearest neighbours and their distance in Å.
Space group R3m (No. 160, hexagonal axes)
One atom of each set of equivalent atoms:
Y  0.0000  0.0000  0.0000 (multiplicity 3)  3 Pt 2.90, 3 Se 3.08
Th  0.0000  0.0000  0.8173 (multiplicity 3)  3 Pt 2.87, 3 Se 3.13
Pt  0.0000  0.0000  0.4102 (multiplicity 3)  3 Th 2.87, 3 Y 2.90
Se  0.0000  0.0000  0.2437 (multiplicity 3)  3 Y 3.08, 3 Th 3.13

DFT total energy	-7.213	eV per atom
energy relative to the elements, uncorrected	-1.361	eV/atom
D(E_F)	9.6	states/eV per cell

[2]
Density functional theory data (PBE-GGA) for crystalline Cs5PaSe5 at its relaxed geometry.

Unit cell a=16.5141 b=6.5107 c=9.7000 alpha=90.00 beta=110.81 gamma=90.00
Last column: nearest neighbours and their distance in Å.
Space group C2/m (No. 12)
One atom of each set of equivalent atoms:
Cs  0.0000  0.0000  0.0000 (multiplicity 2)  4 Se 3.50-3.51
Cs  0.1695  0.5000  0.3282 (multiplicity 4)  4 Se 3.40-3.73
Cs  0.2001  0.5000  0.7969 (multiplicity 4)  4 Se 3.45-3.81
Pa  0.0000  0.0000  0.5000 (multiplicity 2)  4 Se 2.75-2.77
Se  0.0000  0.5000  0.5000 (multiplicity 2)  2 Pa 3.26, 2 Cs 3.53
Se  0.1264  0.0000  0.3773 (multiplicity 4)  1 Pa 2.75
Se  0.1273  0.0000  0.7786 (multiplicity 4)  1 Pa 2.77

DFT total energy	-4.069	eV per atom
energy relative to the elements, uncorrected	-1.233	eV/atom

[3]
Density functional theory data (PBE-GGA) for crystalline Er4ZrCd5 at its relaxed geometry.

Unit cell a=3.6847 b=3.6847 c=18.2517 alpha=90.00 beta=90.00 gamma=90.00
Last column: nearest neighbours and their distance in Å.
Space group P4/mmm (No. 123)
One atom of each set of equivalent atoms:
Er  0.0000  0.0000  0.1030 (multiplicity 2)  8 Cd 3.21
Er  0.0000  0.0000  0.3077 (multiplicity 2)  8 Cd 3.20, 1 Zr 3.51
Zr  0.0000  0.0000  0.5000 (multiplicity 1)  8 Cd 3.09
Cd  0.5000  0.5000  0.0000 (multiplicity 1)  8 Er 3.21
Cd  0.5000  0.5000  0.2058 (multiplicity 2)  8 Er 3.20-3.21
Cd  0.5000  0.5000  0.4092 (multiplicity 2)  4 Zr 3.09, 4 Er 3.20, 1 Cd 3.32

DFT total energy	-3.390	eV per atom
ΔH_f (0 K)	-2.5	eV/f.u.
D(E_F)	10.6	states/eV per cell

[4]
Density functional theory data (PBE-GGA) for crystalline ZnBTe2N at its relaxed geometry.

Unit cell a=6.8301 b=6.8301 c=2.7096 alpha=90.00 beta=90.00 gamma=90.00
Last column: nearest neighbours and their distance in Å.
Space group P4/mmm (No. 123)
One atom of each set of equivalent atoms:
Zn  0.0000  0.0000  0.0000 (multiplicity 1)  2 Zn 2.71
B  0.5000  0.5000  0.5000 (multiplicity 1)  2 N 1.35
Te  0.0000  0.5000  0.5000 (multiplicity 2)  2 Te 2.71
N  0.5000  0.5000  0.0000 (multiplicity 1)  2 B 1.35

DFT total energy	-4.336	eV per atom
energy above the most stable polymorph in this dataset	0.0	meV/atom
energy relative to the elements, uncorrected	0.176	eV/atom
D(E_F)	1.5	states/eV per cell

[5]
Density functional theory data (PBE-GGA) for crystalline NaLaSe4O12 at its relaxed geometry.

Unit cell a=7.3238 b=7.1741 c=10.4249 alpha=90.00 beta=90.00 gamma=90.00
Last column: nearest neighbours and their distance in Å.
Space group Amm2 (No. 38)
One atom of each set of equivalent atoms:
Na  0.0000  0.0000  0.0000 (multiplicity 2)  4 O 2.44-2.59
La  0.5000  0.0000  0.5389 (multiplicity 2)  8 O 2.48-2.59
Se  0.2450  0.2424  0.2687 (multiplicity 8)  1 O 1.67
O  0.0000  0.2329  0.8293 (multiplicity 4)  2 Se 1.91
O  0.2081  0.0000  0.2003 (multiplicity 4)  2 Se 1.90
O  0.2407  0.0000  0.7079 (multiplicity 4)  2 Se 1.95
O  0.3053  0.2275  0.4229 (multiplicity 8)  1 Se 1.67
O  0.5000  0.2434  0.1997 (multiplicity 4)  2 Se 2.00

DFT total energy	-5.406	eV per atom
energy relative to the elements, uncorrected	-0.980	eV/atom
D(E_F)	3.0	states/eV per cell

[6]
Density functional theory data (PBE-GGA) for crystalline LiBe2Cr at its relaxed geometry.

Unit cell a=2.3410 b=2.3410 c=7.6767 alpha=90.00 beta=90.00 gamma=90.00
Last column: nearest neighbours and their distance in Å.
Space group P4/mmm (No. 123)
One atom of each set of equivalent atoms:
Li  0.0000  0.0000  0.0000 (multiplicity 1)  4 Li 2.34
Be  0.5000  0.5000  0.2661 (multiplicity 2)  4 Be 2.34, 4 Cr 2.44
Cr  0.0000  0.0000  0.5000 (multiplicity 1)  4 Cr 2.34, 8 Be 2.44

DFT total energy	-4.621	eV per atom
energy above the most stable polymorph in this dataset	6.7	meV/atom
ΔH_f (0 K)	0.5	eV/f.u.
D(E_F)	2.7	states/eV per cell

[7]
Density functional theory data (PBE-GGA) for crystalline RbNa9Ca2 at its relaxed geometry.

Unit cell a=7.0485 b=7.0485 c=34.5695 alpha=90.00 beta=90.00 gamma=120.00
Last column: nearest neighbours and their distance in Å.
Space group R-3m (No. 166, hexagonal axes)
One atom of each set of equivalent atoms:
Rb  0.0000  0.0000  0.0000 (multiplicity 3)  6 Na 4.07
Na  0.0000  0.0000  0.3344 (multiplicity 6)  9 Na 3.66-4.07, 3 Rb 4.07
Na  0.0000  0.0000  0.5000 (multiplicity 3)  6 Na 3.41
Na  0.0068  0.5034  0.9116 (multiplicity 18)  7 Na 3.41-3.68
Ca  0.0000  0.0000  0.1479 (multiplicity 6)  12 Na 3.90-4.12, 3 Ca 4.27

DFT total energy	-1.352	eV per atom
ΔH_f (0 K)	0.6	eV/f.u.
D(E_F)	22.4	states/eV per cell

[8]
Density functional theory data (PBE-GGA) for crystalline HfBeGe at its relaxed geometry.

Unit cell a=3.7678 b=3.7678 c=12.8138 alpha=90.00 beta=90.00 gamma=90.00
Last column: nearest neighbours and their distance in Å.
Space group I4/mmm (No. 139)
One atom of each set of equivalent atoms:
Hf  0.0000  0.0000  0.1603 (multiplicity 4)  5 Ge 2.70-2.75, 4 Be 2.79
Be  0.0000  0.5000  0.0000 (multiplicity 4)  4 Ge 2.48, 4 Be 2.66
Ge  0.0000  0.0000  0.3747 (multiplicity 4)  4 Be 2.48, 5 Hf 2.70-2.75

DFT total energy	-6.510	eV per atom
ΔH_f (0 K)	-1.2	eV/f.u.
D(E_F)	3.5	states/eV per cell